# GGA-PBE NaBi6O8, optimized geometry
# M_tot, μB/f.u.: 0.00
# N(E_F), states/eV/f.u.: 3.73
# Energy relative to the elements, uncorrected, meV/atom: -916
data_NaBi6O8
_chemical_formula_sum 'Na3 Bi18 O24'
_cell_length_a 7.1204
_cell_length_b 7.1204
_cell_length_c 19.0510
_cell_angle_alpha 90.00
_cell_angle_beta 90.00
_cell_angle_gamma 120.00
_symmetry_space_group_name_H-M 'R -3'
_symmetry_Int_Tables_number 148
_symmetry_space_group_name_Hall '-R 3'
loop_
_atom_site_label
_atom_site_type_symbol
_atom_site_fract_x
_atom_site_fract_y
_atom_site_fract_z
_atom_site_occupancy
Na1 Na 0.0000 0.0000 0.0000 1
Bi1 Bi 0.0042 0.4084 0.0900 1
O1 O 0.0000 0.0000 0.3770 1
O2 O 0.0177 0.6065 0.7902 1